No. 1
The following is a DFT calculation (PBE) of ScCrNiGe after structural relaxation.

POSCAR file:
```
ScCrNiGe
1.0
-1.603 -0.530 2.699
0.062 -4.057 -0.759
4.905 -0.117 1.028
Ni Ge Cr Sc
1 1 1 1
Direct
0.491 0.000 0.589 Ni
0.622 0.500 0.857 Ge
0.905 0.500 0.420 Cr
0.225 0.000 0.063 Sc
```

- Energy relative to the lowest polymorph listed for this composition: 2.64 kJ per mole of atoms
- Formation enthalpy at 0 K: -0.241 eV per atom
- Density of states at the Fermi level: 0.6853 states/eV per atom
- Raw total energy: -6.83 eV/atom

=====

No. 2
The following is a DFT calculation (PBE) of CeSiTc2B after structural relaxation.

POSCAR file:
```
CeSiTc2B
1.0
-2.052 5.179 -0.155
-4.622 -1.910 -2.644
0.106 0.213 5.712
Si Tc B Ce
2 4 2 2
Direct
0.750 0.364 0.727 Si
0.250 0.636 0.273 Si
0.500 0.220 0.000 Tc
0.000 0.780 0.000 Tc
0.500 0.780 0.000 Tc
0.000 0.220 0.000 Tc
0.750 0.136 0.272 B
0.250 0.864 0.728 B
0.250 0.260 0.520 Ce
0.750 0.740 0.480 Ce
```

- Uncorrected formation energy: -0.4260 eV/atom
- Density of states at the Fermi level: 1.1126 states/eV per atom
- Raw total energy: -8.18 eV/atom

=====

No. 3
The following is a DFT calculation (PBE) of SeS after structural relaxation.

POSCAR file:
```
SeS
1.0
3.243 0.001 -0.018
-0.004 3.986 0.120
-0.103 -0.687 5.072
S Se
1 1
Direct
0.086 0.448 0.696 S
0.075 0.000 0.446 Se
```

- Energy relative to the lowest polymorph listed for this composition: 19.49 kJ per mole of atoms
- Uncorrected formation energy: 0.2462 eV/atom
- Density of states at the Fermi level: 0.2316 states/eV per atom
- Raw total energy: -3.56 eV/atom